[1]
First-principles (SCAN) data for a PBEsol-optimized structure of CrRhBr, as listed in Alexandria.

```
CrRhBr
1.0
-1.494 1.494 5.304
1.494 -1.494 5.304
1.494 1.494 -5.304
Cr Rh Br
1 1 1
direct
0.000 0.000 0.000 Cr
0.632 0.632 0.000 Rh
0.335 0.335 0.000 Br
```

## Properties
- Crystal system: tetragonal
- DFT total energy: -70.8 eV per formula unit
- Fermi-level density of states: 2.42 states/eV/cell
- Formation energy without anion corrections: 257 meV/atom

***

[2]
First-principles (SCAN) data for a PBEsol-optimized structure of CrRh2WBr, as listed in Alexandria.

```
CrRh2WBr
1.0
4.472 0.000 0.000
0.000 4.472 0.000
0.000 0.000 4.561
Cr Rh W Br
1 2 1 1
direct
0.000 0.000 0.000 Cr
0.000 0.500 0.500 Rh
0.500 0.000 0.500 Rh
0.500 0.500 0.000 W
0.500 0.500 0.500 Br
```

## Properties
- Crystal system: tetragonal
- DFT total energy: -167.6 eV per formula unit
- Fermi-level density of states: 2.58 states/eV/cell
- Formation energy without anion corrections: 1498 meV/atom

***

[3]
First-principles (SCAN) data for a PBEsol-optimized structure of ZrCrRh2Br, as listed in Alexandria.

```
ZrCrRh2Br
1.0
4.449 0.000 0.000
0.000 4.449 0.000
0.000 0.000 4.563
Zr Cr Rh Br
1 1 2 1
direct
0.000 0.000 0.000 Zr
0.500 0.500 0.500 Cr
0.000 0.500 0.500 Rh
0.500 0.000 0.500 Rh
0.500 0.500 0.000 Br
```

## Properties
- Crystal system: tetragonal
- DFT total energy: -133.2 eV per formula unit
- Fermi-level density of states: 3.98 states/eV/cell
- Formation energy without anion corrections: 585 meV/atom

***

[4]
First-principles (SCAN) data for a PBEsol-optimized structure of CrRuBr2, as listed in Alexandria.

```
CrRuBr2
1.0
3.260 0.000 0.000
0.000 3.260 0.000
0.000 0.000 6.539
Cr Ru Br
1 1 2
direct
0.000 0.000 0.000 Cr
0.000 0.000 0.500 Ru
0.500 0.500 0.248 Br
0.500 0.500 0.752 Br
```

## Properties
- Crystal system: tetragonal
- DFT total energy: -89.9 eV per formula unit
- Fermi-level density of states: 2.00 states/eV/cell
- Formation energy without anion corrections: 547 meV/atom

***

[5]
First-principles (SCAN) data for a PBEsol-optimized structure of CrRuBr2, as listed in Alexandria.

```
CrRuBr2
1.0
1.594 0.920 8.038
-1.594 0.920 8.038
0.000 -1.841 8.038
Cr Ru Br
1 1 2
direct
0.000 0.000 0.000 Cr
0.500 0.500 0.500 Ru
0.402 0.402 0.402 Br
0.598 0.598 0.598 Br
```

## Properties
- Crystal system: trigonal
- DFT total energy: -90.1 eV per formula unit
- Fermi-level density of states: 1.82 states/eV/cell
- Formation energy without anion corrections: 516 meV/atom

***

[6]
First-principles (SCAN) data for a PBEsol-optimized structure of CrRuBr2, as listed in Alexandria.

```
CrRuBr2
1.0
3.386 0.000 0.000
0.000 4.067 0.000
-0.091 0.000 5.433
Cr Ru Br
1 1 2
direct
0.000 0.000 0.000 Cr
0.500 0.000 0.500 Ru
0.278 0.500 0.259 Br
0.722 0.500 0.741 Br
```

## Properties
- Crystal system: monoclinic
- DFT total energy: -90.1 eV per formula unit
- Fermi-level density of states: 2.65 states/eV/cell
- Formation energy without anion corrections: 498 meV/atom

***

[7]
First-principles (SCAN) data for a PBEsol-optimized structure of CrRuBr2, as listed in Alexandria.

```
CrRuBr2
1.0
3.126 -4.103 0.000
3.126 4.103 0.000
-1.765 0.000 2.944
Cr Ru Br
1 1 2
direct
0.000 0.000 0.000 Cr
0.500 0.500 0.000 Ru
0.000 0.500 0.000 Br
0.500 0.000 0.000 Br
```

## Properties
- Crystal system: monoclinic
- DFT total energy: -90.1 eV per formula unit
- Fermi-level density of states: 2.85 states/eV/cell
- Formation energy without anion corrections: 495 meV/atom

***

[8]
First-principles (SCAN) data for a PBEsol-optimized structure of CrRuBr2, as listed in Alexandria.

```
CrRuBr2
1.0
1.642 -2.925 0.000
1.642 2.925 0.000
0.000 0.000 7.980
Cr Ru Br
1 1 2
direct
0.000 0.000 0.000 Cr
0.000 0.000 0.500 Ru
0.500 0.500 0.255 Br
0.500 0.500 0.745 Br
```

## Properties
- Crystal system: orthorhombic
- DFT total energy: -90.0 eV per formula unit
- Fermi-level density of states: 2.23 states/eV/cell
- Formation energy without anion corrections: 538 meV/atom

***

[9]
First-principles (SCAN) data for a PBEsol-optimized structure of CrRu3Br, as listed in Alexandria.

```
CrRu3Br
1.0
4.429 0.000 0.000
0.000 4.429 0.000
0.000 0.000 4.429
Cr Ru Br
1 3 1
direct
0.000 0.000 0.000 Cr
0.000 0.000 0.500 Ru
0.000 0.500 0.000 Ru
0.500 0.000 0.000 Ru
0.500 0.500 0.500 Br
```

## Properties
- Crystal system: cubic
- DFT total energy: -134.5 eV per formula unit
- Fermi-level density of states: 3.92 states/eV/cell
- Formation energy without anion corrections: 1557 meV/atom

***

[10]
First-principles (SCAN) data for a PBEsol-optimized structure of CrRuSeBr2, as listed in Alexandria.

```
CrRuSeBr2
1.0
4.863 0.000 0.000
0.000 4.863 0.000
0.000 0.000 4.898
Cr Ru Se Br
1 1 1 2
direct
0.000 0.000 0.000 Cr
0.500 0.500 0.500 Ru
0.000 0.000 0.500 Se
0.000 0.500 0.000 Br
0.500 0.000 0.000 Br
```

## Properties
- Crystal system: tetragonal
- DFT total energy: -110.2 eV per formula unit
- Fermi-level density of states: 3.06 states/eV/cell
- Formation energy without anion corrections: 411 meV/atom

***

[11]
First-principles (SCAN) data for a PBEsol-optimized structure of CrS2Br, as listed in Alexandria.

```
CrS2Br
1.0
1.404 0.810 11.526
-1.404 0.810 11.526
0.000 -1.621 11.526
Cr S Br
1 2 1
direct
0.000 0.000 0.000 Cr
0.064 0.064 0.064 S
0.936 0.936 0.936 S
0.500 0.500 0.500 Br
```

## Properties
- Crystal system: trigonal
- DFT total energy: -54.8 eV per formula unit
- Fermi-level density of states: 2.32 states/eV/cell
- Formation energy without anion corrections: 567 meV/atom

***

[12]
First-principles (SCAN) data for a PBEsol-optimized structure of CrSb3Br, as listed in Alexandria.

```
CrSb3Br
1.0
5.393 0.000 0.000
0.000 5.393 0.000
0.000 0.000 5.393
Cr Sb Br
1 3 1
direct
0.000 0.000 0.000 Cr
0.000 0.500 0.500 Sb
0.500 0.000 0.500 Sb
0.500 0.500 0.000 Sb
0.500 0.500 0.500 Br
```

## Properties
- Crystal system: cubic
- DFT total energy: -143.5 eV per formula unit
- Fermi-level density of states: 4.71 states/eV/cell
- Formation energy without anion corrections: 1217 meV/atom